1.
Material: LaSc2Al
Method: DFT, PBEsol
State: optimized geometry

Cell: 3.3430 3.3430 8.4354 Å, 90.00 90.00 90.00°
Space group P4/mmm (No. 123)
Unique sites:
La 0.0000 0.0000 0.0000 (multiplicity 1)
Sc 0.5000 0.5000 0.2944 (multiplicity 2)
Al 0.0000 0.0000 0.5000 (multiplicity 1)

Properties
Size of the total moment   0.00 Bohr magnetons per cell
DFT formation energy   -203 meV/atom

---

2.
Material: TmHfCo2
Method: DFT, PBEsol
State: optimized geometry

Cell: 6.3252 6.3252 6.3252 Å, 90.00 90.00 90.00°
Space group Fm-3m (No. 225)
Unique sites:
Tm 0.0000 0.0000 0.0000 (multiplicity 4)
Hf 0.0000 0.0000 0.5000 (multiplicity 4)
Co 0.2500 0.2500 0.2500 (multiplicity 8)

Properties
Size of the total moment   2.98 Bohr magnetons per cell
DFT formation energy   -290 meV/atom

---

3.
Material: Y2ZrSeF
Method: DFT, PBEsol
State: optimized geometry

Cell: 4.7516 4.7516 4.3684 Å, 90.00 90.00 90.00°
Space group P4/mmm (No. 123)
Unique sites:
Y 0.0000 0.5000 0.0000 (multiplicity 2)
Zr 0.0000 0.0000 0.5000 (multiplicity 1)
Se 0.5000 0.5000 0.5000 (multiplicity 1)
F 0.0000 0.0000 0.0000 (multiplicity 1)

Properties
E_form (uncorrected)   -933 meV/atom
Size of the total moment   0.00 Bohr magnetons per cell

---

4.
Material: Ba2CaBr2
Method: DFT, PBEsol
State: optimized geometry

Cell: 5.2951 5.2951 16.4400 Å, 90.00 90.00 90.00°
Space group I4/mmm (No. 139)
Unique sites:
Ba 0.0000 0.0000 0.1364 (multiplicity 4)
Ca 0.0000 0.0000 0.5000 (multiplicity 2)
Br 0.0000 0.5000 0.2500 (multiplicity 4)

Properties
E_form (uncorrected)   -1122 meV/atom
Size of the total moment   0.00 Bohr magnetons per cell

---

| no. | D(E_F) (states/eV/cell) |
| --- | --- |
| 1 | 3.32 |
| 2 | 11.55 |
| 3 | 4.51 |
| 4 | 6.58 |